{"formula": "Hf2ZrRhN", "functional": "PBE-GGA", "state": "optimized geometry", "raw_formation_energy_ev_per_atom": -0.940, "magmom_total_mub_per_fu": 0.000, "dft_energy_ev_per_atom": -9.7666, "lattice_angstrom": [[-1.822, -3.967, 0.138], [3.699, -1.752, -1.523], [1.465, -0.527, 4.165]], "species": ["N", "Rh", "Zr", "Hf", "Hf"], "frac_coords": [[0.000, 0.000, 0.000], [0.500, 0.500, 0.500], [0.000, 0.000, 0.500], [0.500, 0.000, 0.000], [0.000, 0.500, 0.000]]}

---

{"formula": "MgZrTc2", "functional": "PBE-GGA", "state": "optimized geometry", "delta_e_f_ev_per_atom": 0.150, "magmom_total_mub_per_fu": 0.000, "dft_energy_ev_per_atom": -7.5686, "lattice_angstrom": [[9.929, 0.005, 0.003], [9.509, 2.856, 0.003], [9.509, 1.400, 2.489]], "species": ["Mg", "Tc", "Tc", "Zr"], "frac_coords": [[0.742, 0.742, 0.742], [0.259, 0.259, 0.259], [0.994, 0.994, 0.994], [0.505, 0.505, 0.505]]}

---

{"formula": "PtPb2Br", "functional": "PBE-GGA", "state": "optimized geometry", "raw_formation_energy_ev_per_atom": -0.290, "magmom_total_mub_per_fu": 0.000, "relative_energy_ev_per_atom": 0.094, "dft_energy_ev_per_atom": -4.0725, "lattice_angstrom": [[-7.482, -1.551, -3.491], [-5.413, -4.049, -4.988], [-0.788, -2.265, 2.691]], "species": ["Pt", "Pb", "Pb", "Br"], "frac_coords": [[0.563, 0.563, 0.625], [0.170, 0.170, 0.126], [0.964, 0.964, 0.125], [0.803, 0.803, 0.624]]}

---

{"formula": "TcAsCl2", "functional": "PBE-GGA", "state": "optimized geometry", "raw_formation_energy_ev_per_atom": 0.210, "magmom_total_mub_per_fu": 0.501, "relative_energy_ev_per_atom": 0.425, "dft_energy_ev_per_atom": -4.4672, "lattice_angstrom": [[-1.453, 3.704, 10.548], [0.270, 6.046, 9.511], [-2.786, 6.070, 9.081]], "species": ["Tc", "Cl", "Cl", "As"], "frac_coords": [[0.500, 0.500, 0.500], [0.116, 0.116, 0.116], [0.884, 0.884, 0.884], [0.000, 0.000, 0.000]]}

---

{"formula": "PmRu2O8", "functional": "PBE-GGA", "state": "optimized geometry", "raw_formation_energy_ev_per_atom": -1.320, "magmom_total_mub_per_fu": 1.472, "dft_energy_ev_per_atom": -7.0443, "lattice_angstrom": [[6.828, 0.000, 0.000], [0.000, 6.828, 0.000], [-3.414, -3.414, 4.829]], "species": ["O", "O", "O", "O", "O", "O", "O", "O", "Ru", "Ru", "Pm"], "frac_coords": [[0.645, 0.355, 0.711], [0.645, 0.355, 0.289], [0.356, 0.645, 0.711], [0.644, 0.934, 0.289], [0.934, 0.645, 0.289], [0.355, 0.644, 0.289], [0.355, 0.066, 0.711], [0.066, 0.356, 0.711], [0.250, 0.750, 0.500], [0.750, 0.250, 0.500], [0.500, 0.500, 0.000]]}

---

{"formula": "LuScCdTc", "functional": "PBE-GGA", "state": "optimized geometry", "delta_e_f_ev_per_atom": -0.169, "magmom_total_mub_per_fu": 0.000, "dft_energy_ev_per_atom": -5.7024, "lattice_angstrom": [[4.855, 0.000, 0.000], [2.428, 4.205, 0.000], [2.428, 1.402, 3.964]], "species": ["Cd", "Sc", "Tc", "Lu"], "frac_coords": [[0.750, 0.750, 0.750], [0.500, 0.500, 0.500], [0.250, 0.250, 0.250], [0.000, 0.000, 0.000]]}

---

{"formula": "ZrP2Se", "functional": "PBE-GGA", "state": "optimized geometry", "raw_formation_energy_ev_per_atom": -0.552, "magmom_total_mub_per_fu": 0.000, "dft_energy_ev_per_atom": -6.2654, "lattice_angstrom": [[-2.111, -0.747, -4.108], [1.219, -2.637, -3.668], [-2.702, -4.018, 3.184]], "species": ["P", "P", "Zr", "Se"], "frac_coords": [[0.701, 0.701, 0.847], [0.935, 0.935, 0.050], [0.251, 0.251, 0.160], [0.613, 0.613, 0.443]]}

---

{"formula": "BH3Se", "functional": "PBE-GGA", "state": "optimized geometry", "magmom_total_mub_per_fu": 0.000, "relative_energy_ev_per_atom": 0.004, "dft_energy_ev_per_atom": -4.1403, "lattice_angstrom": [[-4.235, 2.943, -2.550], [-2.131, -1.087, 2.251], [-0.549, 4.799, 6.418]], "species": ["H", "H", "H", "H", "H", "H", "Se", "Se", "B", "B"], "frac_coords": [[0.887, 0.696, 0.434], [0.242, 0.737, 0.901], [0.387, 0.655, 0.467], [0.741, 0.616, 0.000], [0.560, 0.385, 0.241], [0.060, 0.971, 0.660], [0.947, 0.885, 0.238], [0.447, 0.465, 0.664], [0.743, 0.459, 0.163], [0.243, 0.894, 0.738]]}

---

{"formula": "NdAlCd2Pd4", "functional": "PBE-GGA", "state": "optimized geometry", "delta_e_f_ev_per_atom": -0.601, "magmom_total_mub_per_fu": 0.000, "dft_energy_ev_per_atom": -4.4904, "lattice_angstrom": [[4.688, 0.000, 0.000], [2.344, 4.059, 0.000], [2.344, 1.353, 7.762]], "species": ["Nd", "Cd", "Cd", "Pd", "Pd", "Pd", "Pd", "Al"], "frac_coords": [[0.000, 0.000, 0.000], [0.750, 0.750, 0.750], [0.250, 0.250, 0.250], [0.607, 0.607, 0.178], [0.393, 0.393, 0.822], [0.869, 0.869, 0.394], [0.131, 0.131, 0.606], [0.500, 0.500, 0.500]]}

---

{"formula": "Bi2Sb2Te", "functional": "PBE-GGA", "state": "optimized geometry", "raw_formation_energy_ev_per_atom": 0.133, "magmom_total_mub_per_fu": 0.000, "relative_energy_ev_per_atom": 0.000, "dft_energy_ev_per_atom": -3.6962, "lattice_angstrom": [[-4.137, -0.738, -1.324], [1.469, -2.902, -2.973], [-2.035, -7.876, 3.417]], "species": ["Bi", "Bi", "Sb", "Sb", "Te"], "frac_coords": [[0.598, 0.598, 0.804], [0.402, 0.402, 0.196], [0.750, 0.250, 0.500], [0.250, 0.750, 0.500], [0.000, 0.000, 0.000]]}

---

{"formula": "Ca3Pr3DyS8", "functional": "PBE-GGA", "state": "optimized geometry", "raw_formation_energy_ev_per_atom": -2.071, "magmom_total_mub_per_fu": 0.000, "dft_energy_ev_per_atom": -5.9354, "lattice_angstrom": [[8.119, 0.000, 0.000], [-4.059, 7.031, -0.024], [0.000, -4.664, 6.654]], "species": ["S", "S", "S", "S", "S", "S", "S", "S", "Ca", "Ca", "Ca", "Dy", "Pr", "Pr", "Pr"], "frac_coords": [[0.753, 0.505, 0.758], [0.238, 0.997, 0.257], [0.240, 0.481, 0.743], [0.762, 0.003, 0.743], [0.247, 0.495, 0.242], [0.240, 0.003, 0.743], [0.760, 0.519, 0.257], [0.760, 0.997, 0.257], [0.500, 0.500, 0.000], [0.000, 0.500, 0.000], [0.000, 0.000, 0.000], [0.000, 0.000, 0.500], [0.500, 0.000, 0.500], [0.000, 0.500, 0.500], [0.500, 0.500, 0.500]]}

---

{"formula": "Dy3NiSeCl", "functional": "PBE-GGA", "state": "optimized geometry", "raw_formation_energy_ev_per_atom": -1.001, "magmom_total_mub_per_fu": 0.002, "dft_energy_ev_per_atom": -5.1545, "lattice_angstrom": [[-0.306, -3.423, 1.773], [-0.073, -3.768, -7.287], [8.957, 0.376, 2.274]], "species": ["Dy", "Dy", "Dy", "Dy", "Dy", "Dy", "Se", "Se", "Cl", "Cl", "Ni", "Ni"], "frac_coords": [[0.750, 0.893, 0.108], [0.250, 0.563, 0.844], [0.250, 0.107, 0.892], [0.750, 0.303, 0.509], [0.250, 0.697, 0.491], [0.750, 0.437, 0.156], [0.250, 0.189, 0.239], [0.750, 0.811, 0.761], [0.250, 0.117, 0.606], [0.750, 0.883, 0.394], [0.250, 0.667, 0.141], [0.750, 0.333, 0.859]]}